Record 1
## Cr2RuCl (PBEsol)

Data for a geometry-optimized Cr2RuCl structure.

Lattice parameters (Å, degrees): 9.5408 2.7967 3.9722 90.00 92.56 90.00
Space group Cm (No. 8)
Unique sites:
Cr 0.0000 0.0000 0.0000 (multiplicity 2)
Cr 0.1905 0.5000 0.2665 (multiplicity 2)
Ru 0.2712 0.0000 0.8236 (multiplicity 2)
Cl 0.4829 0.0000 0.5161 (multiplicity 2)

* polymorph energy (0 for the lowest one): 0.0000 eV per atom
* E_form (uncorrected): 0.45 eV/atom
* DOS(E_F): 5.20 states/eV/cell

---

Record 2
## TeAs2Pt (PBEsol)

Data for a geometry-optimized TeAs2Pt structure.

Lattice parameters (Å, degrees): 3.8359 3.8359 5.4692 90.00 90.00 90.00
Space group P4/mmm (No. 123)
Unique sites:
Te 0.0000 0.0000 0.0000 (multiplicity 1)
As 0.0000 0.0000 0.5000 (multiplicity 1)
As 0.5000 0.5000 0.5000 (multiplicity 1)
Pt 0.5000 0.5000 0.0000 (multiplicity 1)

* E_form (uncorrected): -0.05 eV/atom
* DOS(E_F): 2.19 states/eV/cell

---

Record 3
## KBa2Hg (PBEsol)

Data for a geometry-optimized KBa2Hg structure.

Lattice parameters (Å, degrees): 8.5318 8.5318 8.5318 90.00 90.00 90.00
Space group F-43m (No. 216)
Unique sites:
K 0.0000 0.0000 0.0000 (multiplicity 4)
Ba 0.0000 0.0000 0.5000 (multiplicity 4)
Ba 0.2500 0.2500 0.7500 (multiplicity 4)
Hg 0.2500 0.2500 0.2500 (multiplicity 4)

* ΔH_f (0 K): -1.8 meV/atom
* DOS(E_F): 14.81 states/eV/cell

---

Record 4
## SrZrZn2 (PBEsol)

Data for a geometry-optimized SrZrZn2 structure.

Lattice parameters (Å, degrees): 3.2777 4.2539 6.5177 90.00 90.00 90.00
Space group Pmm2 (No. 25)
Unique sites:
Sr 0.0000 0.0000 0.0000 (multiplicity 1)
Zr 0.5000 0.5000 0.6422 (multiplicity 1)
Zn 0.0000 0.0000 0.4900 (multiplicity 1)
Zn 0.5000 0.5000 0.2384 (multiplicity 1)

* ΔH_f (0 K): 174.9 meV/atom
* DOS(E_F): 2.71 states/eV/cell

---

Question: What is the DOS(E_F) in the third record?
Answer: 14.81 states/eV/cell

---

Question: The lowest DOS(E_F) belongs to which entry?
Answer: TeAs2Pt